A | A plane-wave DFT calculation with PBE-GGA was carried out for crystalline MgZr2Ag at its relaxed geometry.

The structure in POSCAR format:
```
MgZr2Ag
1.0
5.447 0.006 0.000
2.047 5.048 0.000
-3.747 -2.527 3.041
Zr Ag Mg
2 1 1
Direct
0.000 0.000 0.000 Zr
0.250 0.750 0.500 Zr
0.500 0.500 0.000 Ag
0.750 0.250 0.500 Mg
```

B | A plane-wave DFT calculation with PBE-GGA was carried out for crystalline MgZr2Ag at its relaxed geometry.

The structure in POSCAR format:
```
MgZr2Ag
1.0
3.460 0.000 0.000
0.000 4.604 0.000
0.000 0.000 5.229
Zr Ag Mg
2 1 1
Direct
0.000 0.000 0.000 Zr
0.500 0.500 0.000 Zr
0.500 0.000 0.500 Ag
0.000 0.500 0.500 Mg
```

C | A plane-wave DFT calculation with PBE-GGA was carried out for crystalline MgZr2Ag at its relaxed geometry.

The structure in POSCAR format:
```
MgZr2Ag
1.0
5.511 0.002 0.000
2.252 5.030 0.000
-3.881 -2.516 2.996
Zr Mg Ag
2 1 1
Direct
0.500 0.500 0.000 Zr
0.000 0.000 0.000 Zr
0.750 0.250 0.500 Mg
0.250 0.750 0.500 Ag
```

D | A plane-wave DFT calculation with PBE-GGA was carried out for crystalline MgZr2Ag at its relaxed geometry.

The structure in POSCAR format:
```
MgZr2Ag
1.0
10.664 -0.024 -0.014
10.232 3.005 -0.014
10.232 1.460 2.627
Mg Zr Ag
1 2 1
Direct
0.750 0.750 0.750 Mg
0.997 0.997 0.997 Zr
0.503 0.503 0.503 Zr
0.250 0.250 0.250 Ag
```

Which of them is the most stable, and which is the least stable? C and A, in that order.

A | A plane-wave DFT calculation with PBE-GGA was carried out for crystalline MgZr4Ag at its relaxed geometry.

The structure in POSCAR format:
```
MgZr4Ag
1.0
-2.249 -0.110 2.177
1.478 -2.376 1.407
6.978 8.872 7.657
Mg Zr Ag
1 4 1
Direct
0.000 0.000 0.000 Mg
0.500 0.500 0.181 Zr
0.000 0.000 0.345 Zr
0.500 0.500 0.819 Zr
0.000 0.000 0.655 Zr
0.500 0.500 0.500 Ag
```

B | A plane-wave DFT calculation with PBE-GGA was carried out for crystalline MgZr4Ag at its relaxed geometry.

The structure in POSCAR format:
```
MgZr4Ag
1.0
0.000 4.096 4.096
4.096 0.000 4.096
4.096 4.096 0.000
Ag Zr Mg
1 4 1
Direct
0.750 0.750 0.750 Ag
0.375 0.375 0.375 Zr
0.375 0.375 0.876 Zr
0.375 0.876 0.375 Zr
0.876 0.375 0.375 Zr
0.000 0.000 0.000 Mg
```

Which of them is the most stable, and which is the least stable? A and B, in that order.